This record from the Alexandria database describes crystalline HgTe2Cl at its relaxed geometry. The functional is PBE.

Total moment, μB/atom: 0.00
Formation energy (no corrections), eV/atom: 0.2142

abc: 3.227 3.227 10.039
angles: 90.00 90.00 90.00
Sites, in units of the cell vectors:
Hg (0.000, 0.000, 0.000)
Te (0.500, 0.500, 0.269)
Te (0.500, 0.500, 0.731)
Cl (0.000, 0.000, 0.500)

***

This record from the Alexandria database describes crystalline HgTeCl at its relaxed geometry. The functional is PBE.

Total moment, μB/atom: 0.00
Formation energy (no corrections), eV/atom: -0.0544

abc: 5.085 5.085 3.445
angles: 90.00 90.00 120.00
Sites, in units of the cell vectors:
Hg (0.000, 0.000, 0.000)
Te (0.667, 0.333, 0.998)
Cl (0.333, 0.667, 0.498)

***

This record from the Alexandria database describes crystalline HgTe2Cl at its relaxed geometry. The functional is PBE.

Total moment, μB/atom: 0.00
Formation energy (no corrections), eV/atom: 0.2799

abc: 5.664 5.664 3.289
angles: 90.00 90.00 90.00
Sites, in units of the cell vectors:
Hg (0.000, 0.000, 0.000)
Te (0.000, 0.500, 0.500)
Te (0.500, 0.000, 0.500)
Cl (0.500, 0.500, 0.000)

***

This record from the Alexandria database describes crystalline Hg2TeCl at its relaxed geometry. The functional is PBE.

Total moment, μB/atom: 0.00
Formation energy (no corrections), eV/atom: -0.2456

abc: 4.355 4.350 5.914
angles: 90.00 90.12 90.00
Sites, in units of the cell vectors:
Hg (0.000, 0.000, 0.000)
Hg (0.500, 0.500, 0.500)
Te (0.000, 0.000, 0.500)
Cl (0.500, 0.500, 0.000)

***

This record from the Alexandria database describes crystalline Hg4Te2Cl5 at its relaxed geometry. The functional is PBE.

Total moment, μB/atom: 0.00
Formation energy (no corrections), eV/atom: -0.3642

abc: 4.591 8.328 10.095
angles: 88.73 89.63 74.05
Sites, in units of the cell vectors:
Hg (0.033, 0.432, 0.328)
Hg (0.317, 0.865, 0.854)
Hg (0.683, 0.135, 0.146)
Hg (0.967, 0.568, 0.672)
Te (0.488, 0.525, 0.851)
Te (0.512, 0.475, 0.149)
Cl (0.171, 0.159, 0.906)
Cl (0.194, 0.107, 0.335)
Cl (0.500, 0.500, 0.500)
Cl (0.806, 0.893, 0.665)
Cl (0.829, 0.841, 0.094)

***

This record from the Alexandria database describes crystalline HgTeCl at its relaxed geometry. The functional is PBE.

Total moment, μB/atom: 0.09
Formation energy (no corrections), eV/atom: -0.1276

abc: 3.362 8.039 8.298
angles: 90.00 90.00 90.00
Sites, in units of the cell vectors:
Hg (0.000, 0.000, 0.000)
Hg (0.500, 0.500, 0.500)
Te (0.000, 0.000, 0.317)
Te (0.500, 0.500, 0.817)
Cl (0.000, 0.000, 0.716)
Cl (0.500, 0.500, 0.216)

***

This record from the Alexandria database describes crystalline Hg2TeCl at its relaxed geometry. The functional is PBE.

Total moment, μB/atom: 0.00
Formation energy (no corrections), eV/atom: -0.1366

abc: 4.402 4.402 21.377
angles: 90.00 90.00 120.00
Sites, in units of the cell vectors:
Hg (0.000, 0.000, 0.000)
Hg (0.000, 0.000, 0.183)
Hg (0.333, 0.667, 0.667)
Hg (0.333, 0.667, 0.850)
Hg (0.667, 0.333, 0.333)
Hg (0.667, 0.333, 0.517)
Te (0.000, 0.000, 0.591)
Te (0.333, 0.667, 0.258)
Te (0.667, 0.333, 0.924)
Cl (0.000, 0.000, 0.771)
Cl (0.333, 0.667, 0.438)
Cl (0.667, 0.333, 0.104)

***

This record from the Alexandria database describes crystalline HgTe2Cl at its relaxed geometry. The functional is PBE.

Total moment, μB/atom: 0.00
Formation energy (no corrections), eV/atom: 0.0032

abc: 4.203 4.203 7.735
angles: 90.00 90.00 90.00
Sites, in units of the cell vectors:
Hg (0.000, 0.000, 0.000)
Te (0.000, 0.500, 0.500)
Te (0.500, 0.000, 0.500)
Cl (0.500, 0.500, 0.000)

***

This record from the Alexandria database describes crystalline HgTe2Cl at its relaxed geometry. The functional is PBE.

Total moment, μB/atom: 0.00
Formation energy (no corrections), eV/atom: 0.0204

abc: 3.849 3.849 7.805
angles: 90.00 90.00 90.00
Sites, in units of the cell vectors:
Hg (0.000, 0.000, 0.000)
Te (0.000, 0.000, 0.497)
Te (0.500, 0.500, 0.322)
Cl (0.500, 0.500, 0.778)

***

This record from the Alexandria database describes crystalline HgTe4Cl at its relaxed geometry. The functional is PBE.

Total moment, μB/atom: 0.00
Formation energy (no corrections), eV/atom: 0.1860

abc: 6.343 6.343 6.343
angles: 60.00 60.00 60.00
Sites, in units of the cell vectors:
Hg (0.000, 0.000, 0.000)
Te (0.122, 0.626, 0.626)
Te (0.626, 0.122, 0.626)
Te (0.626, 0.626, 0.122)
Te (0.626, 0.626, 0.626)
Cl (0.250, 0.250, 0.250)

***

This record from the Alexandria database describes crystalline HgTe2Cl at its relaxed geometry. The functional is PBE.

Total moment, μB/atom: 0.00
Formation energy (no corrections), eV/atom: -0.0030

abc: 4.491 4.491 22.494
angles: 90.00 90.00 90.00
Sites, in units of the cell vectors:
Hg (0.000, 0.000, 0.000)
Hg (0.000, 0.500, 0.250)
Hg (0.500, 0.000, 0.750)
Hg (0.500, 0.500, 0.500)
Te (0.237, 0.250, 0.125)
Te (0.250, 0.737, 0.375)
Te (0.250, 0.763, 0.875)
Te (0.263, 0.250, 0.625)
Te (0.737, 0.750, 0.625)
Te (0.750, 0.237, 0.875)
Te (0.750, 0.263, 0.375)
Te (0.763, 0.750, 0.125)
Cl (0.000, 0.000, 0.500)
Cl (0.000, 0.500, 0.750)
Cl (0.500, 0.000, 0.250)
Cl (0.500, 0.500, 0.000)

***

This record from the Alexandria database describes crystalline Hg2TeCl at its relaxed geometry. The functional is PBE.

Total moment, μB/atom: 0.00
Formation energy (no corrections), eV/atom: -0.0229

abc: 3.364 6.690 10.061
angles: 90.00 90.00 90.00
Sites, in units of the cell vectors:
Hg (0.000, 0.000, 0.000)
Hg (0.000, 0.500, 0.266)
Hg (0.500, 0.000, 0.766)
Hg (0.500, 0.500, 0.500)
Te (0.000, 0.500, 0.744)
Te (0.500, 0.000, 0.244)
Cl (0.000, 0.000, 0.552)
Cl (0.500, 0.500, 0.052)

***

This record from the Alexandria database describes crystalline HgTe2Cl at its relaxed geometry. The functional is PBE.

Total moment, μB/atom: 0.00
Formation energy (no corrections), eV/atom: -0.1357

abc: 3.583 3.992 9.400
angles: 90.00 90.73 90.00
Sites, in units of the cell vectors:
Hg (0.000, 0.000, 0.000)
Te (0.520, 0.000, 0.490)
Te (0.538, 0.500, 0.709)
Cl (0.497, 0.500, 0.283)

***

This record from the Alexandria database describes crystalline Hg2TeCl at its relaxed geometry. The functional is PBE.

Total moment, μB/atom: 0.00
Formation energy (no corrections), eV/atom: 0.0230

abc: 3.293 4.958 13.885
angles: 90.00 90.00 90.00
Sites, in units of the cell vectors:
Hg (0.000, 0.000, 0.217)
Hg (0.000, 0.000, 0.783)
Hg (0.500, 0.500, 0.283)
Hg (0.500, 0.500, 0.717)
Te (0.000, 0.500, 0.500)
Te (0.500, 0.000, 0.000)
Cl (0.000, 0.500, 0.000)
Cl (0.500, 0.000, 0.500)

***

This record from the Alexandria database describes crystalline Hg3TeCl2 at its relaxed geometry. The functional is PBE.

Total moment, μB/atom: 0.00
Formation energy (no corrections), eV/atom: -0.3172

abc: 8.020 8.020 7.986
angles: 91.50 91.50 61.95
Sites, in units of the cell vectors:
Hg (0.071, 0.681, 0.370)
Hg (0.157, 0.843, 0.750)
Hg (0.319, 0.929, 0.130)
Hg (0.681, 0.071, 0.870)
Hg (0.843, 0.157, 0.250)
Hg (0.929, 0.319, 0.630)
Te (0.404, 0.596, 0.250)
Te (0.596, 0.404, 0.750)
Cl (0.225, 0.250, 0.509)
Cl (0.250, 0.225, 0.009)
Cl (0.750, 0.775, 0.991)
Cl (0.775, 0.750, 0.491)

***

This record from the Alexandria database describes crystalline HgTe2Cl at its relaxed geometry. The functional is PBE.

Total moment, μB/atom: 0.00
Formation energy (no corrections), eV/atom: 0.1090

abc: 7.517 7.517 7.517
angles: 90.00 90.00 90.00
Sites, in units of the cell vectors:
Hg (0.000, 0.000, 0.000)
Hg (0.000, 0.500, 0.500)
Hg (0.500, 0.000, 0.500)
Hg (0.500, 0.500, 0.000)
Te (0.000, 0.000, 0.500)
Te (0.000, 0.500, 0.000)
Te (0.250, 0.250, 0.250)
Te (0.250, 0.750, 0.750)
Te (0.500, 0.000, 0.000)
Te (0.500, 0.500, 0.500)
Te (0.750, 0.250, 0.750)
Te (0.750, 0.750, 0.250)
Cl (0.250, 0.250, 0.750)
Cl (0.250, 0.750, 0.250)
Cl (0.750, 0.250, 0.250)
Cl (0.750, 0.750, 0.750)

***

This record from the Alexandria database describes crystalline HgTe2Cl at its relaxed geometry. The functional is PBE.

Total moment, μB/atom: 0.00
Formation energy (no corrections), eV/atom: -0.0773

abc: 4.001 6.870 10.239
angles: 90.00 90.00 90.00
Sites, in units of the cell vectors:
Hg (0.000, 0.000, 0.000)
Hg (0.500, 0.500, 0.500)
Te (0.000, 0.000, 0.483)
Te (0.000, 0.500, 0.790)
Te (0.500, 0.000, 0.290)
Te (0.500, 0.500, 0.983)
Cl (0.000, 0.500, 0.182)
Cl (0.500, 0.000, 0.682)

***

This record from the Alexandria database describes crystalline HgTe2Cl at its relaxed geometry. The functional is PBE.

Total moment, μB/atom: 0.00
Formation energy (no corrections), eV/atom: 0.2117

abc: 7.398 7.398 7.398
angles: 90.00 90.00 90.00
Sites, in units of the cell vectors:
Hg (0.000, 0.000, 0.000)
Hg (0.000, 0.500, 0.500)
Hg (0.500, 0.000, 0.500)
Hg (0.500, 0.500, 0.000)
Te (0.250, 0.250, 0.250)
Te (0.250, 0.250, 0.750)
Te (0.250, 0.750, 0.250)
Te (0.250, 0.750, 0.750)
Te (0.750, 0.250, 0.250)
Te (0.750, 0.250, 0.750)
Te (0.750, 0.750, 0.250)
Te (0.750, 0.750, 0.750)
Cl (0.000, 0.000, 0.500)
Cl (0.000, 0.500, 0.000)
Cl (0.500, 0.000, 0.000)
Cl (0.500, 0.500, 0.500)

***

This record from the Alexandria database describes crystalline Hg2TeCl at its relaxed geometry. The functional is PBE.

Total moment, μB/atom: 0.00
Formation energy (no corrections), eV/atom: -0.1112

abc: 5.993 8.723 5.269
angles: 90.00 124.14 90.00
Sites, in units of the cell vectors:
Hg (0.250, 0.250, 0.000)
Hg (0.250, 0.750, 0.000)
Hg (0.750, 0.250, 0.000)
Hg (0.750, 0.750, 0.000)
Te (0.000, 0.000, 0.500)
Te (0.500, 0.500, 0.500)
Cl (0.000, 0.500, 0.500)
Cl (0.500, 0.000, 0.500)

***

This record from the Alexandria database describes crystalline Hg2TeCl at its relaxed geometry. The functional is PBE.

Total moment, μB/atom: 0.00
Formation energy (no corrections), eV/atom: -0.0295

abc: 7.503 7.512 3.658
angles: 90.00 90.00 90.00
Sites, in units of the cell vectors:
Hg (0.250, 0.250, 0.000)
Hg (0.250, 0.750, 0.000)
Hg (0.750, 0.250, 0.000)
Hg (0.750, 0.750, 0.000)
Te (0.000, 0.000, 0.500)
Te (0.500, 0.500, 0.500)
Cl (0.000, 0.500, 0.500)
Cl (0.500, 0.000, 0.500)

***

This record from the Alexandria database describes crystalline HgTe2Cl at its relaxed geometry. The functional is PBE.

Total moment, μB/atom: 0.00
Formation energy (no corrections), eV/atom: -0.0584

abc: 4.016 4.159 15.378
angles: 90.00 90.00 90.00
Sites, in units of the cell vectors:
Hg (0.000, 0.000, 0.000)
Hg (0.500, 0.500, 0.500)
Te (0.000, 0.500, 0.280)
Te (0.000, 0.500, 0.720)
Te (0.500, 0.000, 0.220)
Te (0.500, 0.000, 0.780)
Cl (0.000, 0.000, 0.500)
Cl (0.500, 0.500, 0.000)

***

This record from the Alexandria database describes crystalline HgTe2Cl at its relaxed geometry. The functional is PBE.

Total moment, μB/atom: 0.00
Formation energy (no corrections), eV/atom: 0.1208

abc: 3.790 5.206 5.348
angles: 90.00 90.00 90.00
Sites, in units of the cell vectors:
Hg (0.000, 0.000, 0.000)
Te (0.000, 0.500, 0.500)
Te (0.500, 0.500, 0.000)
Cl (0.500, 0.000, 0.500)

***

This record from the Alexandria database describes crystalline Hg2TeCl at its relaxed geometry. The functional is PBE.

Total moment, μB/atom: 0.00
Formation energy (no corrections), eV/atom: 0.0873

abc: 7.406 7.406 7.406
angles: 90.00 90.00 90.00
Sites, in units of the cell vectors:
Hg (0.000, 0.000, 0.000)
Hg (0.000, 0.500, 0.500)
Hg (0.250, 0.250, 0.250)
Hg (0.250, 0.750, 0.750)
Hg (0.500, 0.000, 0.500)
Hg (0.500, 0.500, 0.000)
Hg (0.750, 0.250, 0.750)
Hg (0.750, 0.750, 0.250)
Te (0.250, 0.250, 0.750)
Te (0.250, 0.750, 0.250)
Te (0.750, 0.250, 0.250)
Te (0.750, 0.750, 0.750)
Cl (0.000, 0.000, 0.500)
Cl (0.000, 0.500, 0.000)
Cl (0.500, 0.000, 0.000)
Cl (0.500, 0.500, 0.500)

***

This record from the Alexandria database describes crystalline Hg2TeCl at its relaxed geometry. The functional is PBE.

Total moment, μB/atom: 0.00
Formation energy (no corrections), eV/atom: -0.1883

abc: 4.476 4.476 19.937
angles: 90.00 90.00 120.00
Sites, in units of the cell vectors:
Hg (0.000, 0.000, 0.243)
Hg (0.000, 0.000, 0.757)
Hg (0.333, 0.667, 0.424)
Hg (0.333, 0.667, 0.910)
Hg (0.667, 0.333, 0.090)
Hg (0.667, 0.333, 0.576)
Te (0.000, 0.000, 0.500)
Te (0.333, 0.667, 0.167)
Te (0.667, 0.333, 0.833)
Cl (0.000, 0.000, 0.000)
Cl (0.333, 0.667, 0.667)
Cl (0.667, 0.333, 0.333)

***

This record from the Alexandria database describes crystalline Hg4TeCl4 at its relaxed geometry. The functional is PBE.

Total moment, μB/atom: 0.00
Formation energy (no corrections), eV/atom: -0.3421

abc: 8.852 8.852 6.572
angles: 90.00 90.00 90.00
Sites, in units of the cell vectors:
Hg (0.025, 0.840, 0.053)
Hg (0.160, 0.525, 0.553)
Hg (0.340, 0.975, 0.553)
Hg (0.475, 0.660, 0.053)
Hg (0.525, 0.340, 0.947)
Hg (0.660, 0.025, 0.447)
Hg (0.840, 0.475, 0.447)
Hg (0.975, 0.160, 0.947)
Te (0.250, 0.250, 0.750)
Te (0.750, 0.750, 0.250)
Cl (0.063, 0.816, 0.622)
Cl (0.184, 0.563, 0.122)
Cl (0.316, 0.937, 0.122)
Cl (0.437, 0.684, 0.622)
Cl (0.563, 0.316, 0.378)
Cl (0.684, 0.063, 0.878)
Cl (0.816, 0.437, 0.878)
Cl (0.937, 0.184, 0.378)

***

This record from the Alexandria database describes crystalline Hg2TeCl at its relaxed geometry. The functional is PBE.

Total moment, μB/atom: 0.00
Formation energy (no corrections), eV/atom: -0.1737

abc: 6.410 6.410 14.663
angles: 90.00 90.00 90.00
Sites, in units of the cell vectors:
Hg (0.237, 0.250, 0.125)
Hg (0.250, 0.737, 0.375)
Hg (0.250, 0.763, 0.875)
Hg (0.263, 0.250, 0.625)
Hg (0.737, 0.750, 0.625)
Hg (0.750, 0.237, 0.875)
Hg (0.750, 0.263, 0.375)
Hg (0.763, 0.750, 0.125)
Te (0.000, 0.000, 0.000)
Te (0.000, 0.500, 0.250)
Te (0.500, 0.000, 0.750)
Te (0.500, 0.500, 0.500)
Cl (0.000, 0.000, 0.500)
Cl (0.000, 0.500, 0.750)
Cl (0.500, 0.000, 0.250)
Cl (0.500, 0.500, 0.000)

***

This record from the Alexandria database describes crystalline HgTe3Cl at its relaxed geometry. The functional is PBE.

Total moment, μB/atom: 0.00
Formation energy (no corrections), eV/atom: 0.6597

abc: 5.472 5.472 5.472
angles: 90.00 90.00 90.00
Sites, in units of the cell vectors:
Hg (0.000, 0.000, 0.000)
Te (0.000, 0.500, 0.500)
Te (0.500, 0.000, 0.500)
Te (0.500, 0.500, 0.000)
Cl (0.500, 0.500, 0.500)

***

This record from the Alexandria database describes crystalline Hg2TeCl at its relaxed geometry. The functional is PBE.

Total moment, μB/atom: 0.00
Formation energy (no corrections), eV/atom: -0.0760

abc: 3.723 3.723 28.524
angles: 90.00 90.00 120.00
Sites, in units of the cell vectors:
Hg (0.000, 0.000, 0.000)
Hg (0.000, 0.000, 0.261)
Hg (0.333, 0.667, 0.667)
Hg (0.333, 0.667, 0.928)
Hg (0.667, 0.333, 0.333)
Hg (0.667, 0.333, 0.594)
Te (0.000, 0.000, 0.744)
Te (0.333, 0.667, 0.411)
Te (0.667, 0.333, 0.078)
Cl (0.000, 0.000, 0.534)
Cl (0.333, 0.667, 0.201)
Cl (0.667, 0.333, 0.867)